First-principles (PBE) data for an optimized crystal structure of NaCdBr2Cl, as listed in the Alexandria database.

Unit cell a=5.5350 b=5.5350 c=5.1744 alpha=90.00 beta=90.00 gamma=90.00
Last column: nearest neighbours and their distance in Å.
Fractional coordinates of all 5 atoms:
Br 0.5000 0.0000 0.0000  2 Cd 2.77
Br 0.0000 0.5000 0.0000  2 Cd 2.77
Cl 0.0000 0.0000 0.5000  2 Cd 2.59
Na 0.5000 0.5000 0.5000  8 Br 3.79, 4 Cl 3.91
Cd 0.0000 0.0000 0.0000  2 Cl 2.59, 4 Br 2.77

Values from the calculation:
offset from the most stable computed form	148.7	meV/atom
E_form (uncorrected)	-1038.8	meV per atom
space group	P4/mmm, No. 123

First-principles (PBE) data for an optimized crystal structure of Ba3ZrTc, as listed in the Alexandria database.

Unit cell a=5.8334 b=5.8334 c=5.8334 alpha=90.00 beta=90.00 gamma=90.00
Last column: nearest neighbours and their distance in Å.
Fractional coordinates of all 5 atoms:
Ba 0.0000 0.0000 0.5000  2 Tc 2.92
Ba 0.5000 0.0000 0.0000  2 Tc 2.92
Tc 0.0000 0.0000 0.0000  6 Ba 2.92
Zr 0.5000 0.5000 0.5000  12 Ba 4.12
Ba 0.0000 0.5000 0.0000  2 Tc 2.92

Values from the calculation:
offset from the most stable computed form	0.0	meV/atom
energy of formation	1.090	eV/atom
space group	Pm-3m, No. 221

First-principles (PBE) data for an optimized crystal structure of Tm3ScCd7, as listed in the Alexandria database.

Unit cell a=3.3192 b=10.8036 c=15.4782 alpha=90.00 beta=90.00 gamma=98.84
Last column: nearest neighbours and their distance in Å.
Fractional coordinates of all 22 atoms:
Cd 0.4990 0.9980 0.4095  2 Cd 2.80-2.85, 2 Sc 3.00
Tm 0.1169 0.2338 0.0274  5 Cd 3.11-3.32, 2 Tm 3.32
Sc 0.0194 0.0388 0.7500  10 Cd 3.00-3.16, 2 Sc 3.32
Cd 0.3937 0.7874 0.7500  2 Sc 3.16, 1 Tm 3.20, 4 Cd 3.32-3.37
Cd 0.6063 0.2126 0.2500  2 Sc 3.16, 1 Tm 3.20, 4 Cd 3.32-3.37
Cd 0.7420 0.4840 0.9233  3 Cd 2.80-2.92, 1 Tm 3.11
Cd 0.2580 0.5160 0.4233  3 Cd 2.80-2.92, 1 Tm 3.11
Cd 0.5010 0.0020 0.9095  2 Cd 2.80-2.85, 2 Sc 3.00
Cd 0.6250 0.2500 0.6581  3 Cd 2.80-2.85
Tm 0.8831 0.7662 0.9726  5 Cd 3.11-3.32, 2 Tm 3.32
Tm 0.1169 0.2338 0.4726  5 Cd 3.11-3.32, 2 Tm 3.32
Tm 0.7564 0.5128 0.2500  9 Cd 3.15-3.35, 2 Tm 3.32
Cd 0.6250 0.2500 0.8419  3 Cd 2.80-2.85
Cd 0.3750 0.7500 0.1581  3 Cd 2.80-2.85
Cd 0.2580 0.5160 0.0767  3 Cd 2.80-2.92, 1 Tm 3.11
Tm 0.2436 0.4872 0.7500  9 Cd 3.15-3.35, 2 Tm 3.32
Cd 0.5010 0.0020 0.5905  2 Cd 2.80-2.85, 2 Sc 3.00
Cd 0.4990 0.9980 0.0905  2 Cd 2.80-2.85, 2 Sc 3.00
Cd 0.3750 0.7500 0.3419  3 Cd 2.80-2.85
Cd 0.7420 0.4840 0.5767  3 Cd 2.80-2.92, 1 Tm 3.11
Tm 0.8831 0.7662 0.5274  5 Cd 3.11-3.32, 2 Tm 3.32
Sc 0.9806 0.9612 0.2500  10 Cd 3.00-3.16, 2 Sc 3.32

Values from the calculation:
energy of formation	-0.123	eV/atom
space group	Cmcm, No. 63

| no. | E (eV/cell) |
| --- | --- |
| 1 | -12.62 |
| 2 | -19.23 |
| 3 | -55.01 |